# 1
VASP calculation (PBE-GGA) on a geometry-optimized PrMgPt structure.

Output
- E_form: -652.7 meV per atom
- Uncorrected energy: -14.37 eV/f.u.

Cell and atoms, written as POSCAR:
```
PrMgPt
1.0
-1.7599 1.7599 5.6632
1.7599 -1.7599 5.6632
1.7599 1.7599 -5.6632
Pr Mg Pt
1 1 1
Direct
0.0000 0.0000 0.0000 Pr
0.7222 0.7222 0.0000 Mg
0.3411 0.3411 0.0000 Pt
```

# 2
VASP calculation (PBE-GGA) on a geometry-optimized Pm7InIr4 structure.

Output
- E_form: -370.9 meV per atom
- Uncorrected energy: -75.89 eV/f.u.

Cell and atoms, written as POSCAR:
```
Pm7InIr4
1.0
6.8902 -2.8050 0.0000
6.8902 2.8050 0.0000
-5.8165 0.0000 8.1515
Pm In Ir
7 1 4
Direct
0.0000 0.0000 0.0000 Pm
0.1753 0.1753 0.6223 Pm
0.2906 0.2906 0.1232 Pm
0.4224 0.4224 0.6302 Pm
0.5776 0.5776 0.3698 Pm
0.7094 0.7094 0.8768 Pm
0.8247 0.8247 0.3777 Pm
0.5000 0.5000 0.0000 In
0.0674 0.0674 0.7795 Ir
0.2031 0.2031 0.3371 Ir
0.7969 0.7969 0.6629 Ir
0.9326 0.9326 0.2205 Ir
```

# 3
VASP calculation (PBE-GGA) on a geometry-optimized Th2PaMoN6 structure.

Output
- Formation energy (no corrections): -1.18 eV per atom
- Uncorrected energy: -96.93 eV/f.u.

Cell and atoms, written as POSCAR:
```
Th2PaMoN6
1.0
5.5696 0.0000 0.0000
0.0000 5.5696 0.0000
0.0000 0.0000 5.1439
Th Pa Mo N
2 1 1 6
Direct
0.0000 0.5000 0.0000 Th
0.5000 0.0000 0.0000 Th
0.0000 0.0000 0.5747 Pa
0.5000 0.5000 0.5859 Mo
0.0000 0.0000 0.1458 N
0.2594 0.2594 0.7371 N
0.2594 0.7406 0.7371 N
0.5000 0.5000 0.2321 N
0.7406 0.2594 0.7371 N
0.7406 0.7406 0.7371 N
```

# 4
VASP calculation (PBE-GGA) on a geometry-optimized LiY2GeH structure.

Output
- Uncorrected energy: -25.42 eV/f.u.

Cell and atoms, written as POSCAR:
```
LiY2GeH
1.0
4.7524 0.0000 0.0000
0.0000 4.7524 0.0000
0.0000 0.0000 3.9771
Li Y Ge H
1 2 1 1
Direct
0.0000 0.0000 0.0000 Li
0.0000 0.5000 0.5000 Y
0.5000 0.0000 0.5000 Y
0.5000 0.5000 0.0000 Ge
0.0000 0.0000 0.5000 H
```

no.,total magnetization (μB per cell)
1,0.00
2,0.00
3,0.76
4,0.00